[1]
# CdSi2Cl | Alexandria | GGA-PBE | relaxed
# Energy relative to the elements, uncorrected   11.119 kcal/mol of atoms
# Electronic total energy   -0.1073 hartree per atom
# Fermi-level density of states   0.437 states/eV/atom
data_CdSi2Cl
_chemical_formula_sum 'Cd2 Si4 Cl2'
_cell_length_a 5.381
_cell_length_b 10.287
_cell_length_c 2.887
_cell_angle_alpha 90.00
_cell_angle_beta 90.00
_cell_angle_gamma 90.00
_space_group_name_H-M_alt 'C m m m'
_space_group_IT_number 65
_space_group_name_Hall '-C 2 2'
loop_
_atom_site_label
_atom_site_type_symbol
_atom_site_fract_x
_atom_site_fract_y
_atom_site_fract_z
Cd1 Cd 0.000 0.000 0.000
Si1 Si 0.250 0.250 0.500
Cl1 Cl 0.000 0.500 0.000


[2]
# CdSi2Cl | Alexandria | GGA-PBE | relaxed
# Energy relative to the elements, uncorrected   3.439 kcal/mol of atoms
# Electronic total energy   -0.1195 hartree per atom
# Fermi-level density of states   0.388 states/eV/atom
data_CdSi2Cl
_chemical_formula_sum 'Cd1 Si2 Cl1'
_cell_length_a 2.958
_cell_length_b 5.271
_cell_length_c 5.100
_cell_angle_alpha 90.00
_cell_angle_beta 94.33
_cell_angle_gamma 90.00
_space_group_name_H-M_alt 'P 1 m 1'
_space_group_IT_number 6
loop_
_space_group_symop_operation_xyz
'x,y,z'
'x,-y,z'
loop_
_atom_site_label
_atom_site_type_symbol
_atom_site_fract_x
_atom_site_fract_y
_atom_site_fract_z
Cd1 Cd 0.000 0.000 0.000
Si1 Si 0.499 0.500 0.474
Si2 Si 0.560 0.000 0.504
Cl1 Cl 0.377 0.500 0.036


[3]
# CdSiCl4 | Alexandria | GGA-PBE | relaxed
# Energy relative to the elements, uncorrected   14.279 kcal/mol of atoms
# Electronic total energy   -0.0613 hartree per atom
# Fermi-level density of states   0.553 states/eV/atom
data_CdSiCl4
_chemical_formula_sum 'Cd4 Si4 Cl16'
_cell_length_a 8.357
_cell_length_b 8.357
_cell_length_c 8.357
_cell_angle_alpha 90.00
_cell_angle_beta 90.00
_cell_angle_gamma 90.00
_space_group_name_H-M_alt 'F -4 3 m'
_space_group_IT_number 216
_space_group_name_Hall 'F -4 2 3'
loop_
_atom_site_label
_atom_site_type_symbol
_atom_site_fract_x
_atom_site_fract_y
_atom_site_fract_z
Cd1 Cd 0.000 0.000 0.000
Si1 Si 0.250 0.250 0.250
Cl1 Cl 0.125 0.125 0.625


[4]
# CdSiCl2 | Alexandria | GGA-PBE | relaxed
# Energy relative to the elements, uncorrected   -2.792 kcal/mol of atoms
# Electronic total energy   -0.0966 hartree per atom
# Fermi-level density of states   0.168 states/eV/atom
data_CdSiCl2
_chemical_formula_sum 'Cd2 Si2 Cl4'
_cell_length_a 5.477
_cell_length_b 5.477
_cell_length_c 6.156
_cell_angle_alpha 90.00
_cell_angle_beta 90.00
_cell_angle_gamma 90.00
_space_group_name_H-M_alt 'I 4/m m m'
_space_group_IT_number 139
_space_group_name_Hall '-I 4 2'
loop_
_atom_site_label
_atom_site_type_symbol
_atom_site_fract_x
_atom_site_fract_y
_atom_site_fract_z
Cd1 Cd 0.000 0.000 0.000
Si1 Si 0.000 0.000 0.500
Cl1 Cl 0.000 0.500 0.000


[5]
# CdSiCl2 | Alexandria | GGA-PBE | relaxed
# Energy relative to the elements, uncorrected   -7.269 kcal/mol of atoms
# Electronic total energy   -0.1037 hartree per atom
data_CdSiCl2
_chemical_formula_sum 'Cd3 Si3 Cl6'
_cell_length_a 3.8054
_cell_length_b 3.8054
_cell_length_c 24.9161
_cell_angle_alpha 90.00
_cell_angle_beta 90.00
_cell_angle_gamma 120.00
_space_group_name_H-M_alt 'R 3 m'
_space_group_IT_number 160
_space_group_name_Hall 'R 3 -2"'
loop_
_atom_site_label
_atom_site_type_symbol
_atom_site_fract_x
_atom_site_fract_y
_atom_site_fract_z
Cd1 Cd 0.0000 0.0000 0.0000
Si1 Si 0.0000 0.0000 0.2569
Cl1 Cl 0.0000 0.0000 0.5353
Cl2 Cl 0.0000 0.0000 0.7291


[6]
# CdSiCl2 | Alexandria | GGA-PBE | relaxed
# Energy relative to the elements, uncorrected   -2.872 kcal/mol of atoms
# Electronic total energy   -0.0967 hartree per atom
# Fermi-level density of states   0.290 states/eV/atom
data_CdSiCl2
_chemical_formula_sum 'Cd2 Si2 Cl4'
_cell_length_a 3.475
_cell_length_b 5.721
_cell_length_c 9.513
_cell_angle_alpha 90.00
_cell_angle_beta 90.00
_cell_angle_gamma 90.00
_space_group_name_H-M_alt 'C m m m'
_space_group_IT_number 65
_space_group_name_Hall '-C 2 2'
loop_
_atom_site_label
_atom_site_type_symbol
_atom_site_fract_x
_atom_site_fract_y
_atom_site_fract_z
Cd1 Cd 0.000 0.000 0.000
Si1 Si 0.000 0.000 0.500
Cl1 Cl 0.000 0.500 0.305


[7]
# CdSi2Cl | Alexandria | GGA-PBE | relaxed
# Energy relative to the elements, uncorrected   4.518 kcal/mol of atoms
# Electronic total energy   -0.1178 hartree per atom
# Fermi-level density of states   0.216 states/eV/atom
data_CdSi2Cl
_chemical_formula_sum 'Cd2 Si4 Cl2'
_cell_length_a 12.252
_cell_length_b 2.936
_cell_length_c 4.846
_cell_angle_alpha 90.00
_cell_angle_beta 110.95
_cell_angle_gamma 90.00
_space_group_name_H-M_alt 'C 1 m 1'
_space_group_IT_number 8
loop_
_space_group_symop_operation_xyz
'x,y,z'
'x,-y,z'
'x+1/2,y+1/2,z'
'x+1/2,-y+1/2,z'
loop_
_atom_site_label
_atom_site_type_symbol
_atom_site_fract_x
_atom_site_fract_y
_atom_site_fract_z
Cd1 Cd 0.000 0.000 0.000
Si1 Si 0.089 0.500 0.575
Si2 Si 0.269 0.000 0.673
Cl1 Cl 0.294 0.500 0.297


[8]
# CdSi2Cl | Alexandria | GGA-PBE | relaxed
# Energy relative to the elements, uncorrected   9.600 kcal/mol of atoms
# Electronic total energy   -0.1097 hartree per atom
# Fermi-level density of states   0.325 states/eV/atom
data_CdSi2Cl
_chemical_formula_sum 'Cd2 Si4 Cl2'
_cell_length_a 3.003
_cell_length_b 5.208
_cell_length_c 9.676
_cell_angle_alpha 90.00
_cell_angle_beta 90.00
_cell_angle_gamma 90.00
_space_group_name_H-M_alt 'C m m m'
_space_group_IT_number 65
_space_group_name_Hall '-C 2 2'
loop_
_atom_site_label
_atom_site_type_symbol
_atom_site_fract_x
_atom_site_fract_y
_atom_site_fract_z
Cd1 Cd 0.000 0.000 0.000
Si1 Si 0.000 0.500 0.274
Cl1 Cl 0.000 0.000 0.500


[9]
# CdSiCl2 | Alexandria | GGA-PBE | relaxed
# Energy relative to the elements, uncorrected   -4.026 kcal/mol of atoms
# Electronic total energy   -0.0986 hartree per atom
# Fermi-level density of states   0.179 states/eV/atom
data_CdSiCl2
_chemical_formula_sum 'Cd2 Si2 Cl4'
_cell_length_a 3.393
_cell_length_b 4.011
_cell_length_c 15.480
_cell_angle_alpha 90.00
_cell_angle_beta 90.00
_cell_angle_gamma 90.00
_space_group_name_H-M_alt 'I m m 2'
_space_group_IT_number 44
loop_
_space_group_symop_operation_xyz
'x,y,z'
'-x,-y,z'
'-x,y,z'
'x,-y,z'
'x+1/2,y+1/2,z+1/2'
'-x+1/2,-y+1/2,z+1/2'
'-x+1/2,y+1/2,z+1/2'
'x+1/2,-y+1/2,z+1/2'
loop_
_atom_site_label
_atom_site_type_symbol
_atom_site_fract_x
_atom_site_fract_y
_atom_site_fract_z
Cd1 Cd 0.000 0.000 0.000
Si1 Si 0.000 0.500 0.351
Cl1 Cl 0.000 0.000 0.576
Cl2 Cl 0.000 0.500 0.808


[10]
# CdSiCl2 | Alexandria | GGA-PBE | relaxed
# Energy relative to the elements, uncorrected   -2.700 kcal/mol of atoms
# Electronic total energy   -0.0965 hartree per atom
# Fermi-level density of states   0.683 states/eV/atom
data_CdSiCl2
_chemical_formula_sum 'Cd1 Si1 Cl2'
_cell_length_a 3.306
_cell_length_b 3.306
_cell_length_c 8.601
_cell_angle_alpha 90.00
_cell_angle_beta 90.00
_cell_angle_gamma 90.00
_space_group_name_H-M_alt 'P 4 m m'
_space_group_IT_number 99
loop_
_space_group_symop_operation_xyz
'x,y,z'
'-y,x,z'
'-x,-y,z'
'y,-x,z'
'-x,y,z'
'y,x,z'
'x,-y,z'
'-y,-x,z'
loop_
_atom_site_label
_atom_site_type_symbol
_atom_site_fract_x
_atom_site_fract_y
_atom_site_fract_z
Cd1 Cd 0.000 0.000 0.000
Si1 Si 0.500 0.500 0.766
Cl1 Cl 0.000 0.000 0.587
Cl2 Cl 0.500 0.500 0.181


[11]
# CdSiCl2 | Alexandria | GGA-PBE | relaxed
# Energy relative to the elements, uncorrected   -4.811 kcal/mol of atoms
# Electronic total energy   -0.0998 hartree per atom
# Fermi-level density of states   0.065 states/eV/atom
data_CdSiCl2
_chemical_formula_sum 'Cd2 Si2 Cl4'
_cell_length_a 6.519
_cell_length_b 3.761
_cell_length_c 10.175
_cell_angle_alpha 90.00
_cell_angle_beta 99.16
_cell_angle_gamma 90.00
_space_group_name_H-M_alt 'C 1 2/m 1'
_space_group_IT_number 12
loop_
_space_group_symop_operation_xyz
'x,y,z'
'-x,-y,-z'
'-x,y,-z'
'x,-y,z'
'x+1/2,y+1/2,z'
'-x+1/2,-y+1/2,-z'
'-x+1/2,y+1/2,-z'
'x+1/2,-y+1/2,z'
loop_
_atom_site_label
_atom_site_type_symbol
_atom_site_fract_x
_atom_site_fract_y
_atom_site_fract_z
Cd1 Cd 0.000 0.000 0.000
Si1 Si 0.000 0.500 0.500
Cl1 Cl 0.203 0.000 0.648


[12]
# CdSiCl2 | Alexandria | GGA-PBE | relaxed
# Energy relative to the elements, uncorrected   -8.035 kcal/mol of atoms
# Electronic total energy   -0.1050 hartree per atom
data_CdSiCl2
_chemical_formula_sum 'Cd1 Si1 Cl2'
_cell_length_a 5.487
_cell_length_b 3.967
_cell_length_c 5.841
_cell_angle_alpha 90.00
_cell_angle_beta 114.14
_cell_angle_gamma 90.00
_space_group_name_H-M_alt 'P 1 m 1'
_space_group_IT_number 6
loop_
_space_group_symop_operation_xyz
'x,y,z'
'x,-y,z'
loop_
_atom_site_label
_atom_site_type_symbol
_atom_site_fract_x
_atom_site_fract_y
_atom_site_fract_z
Cd1 Cd 0.000 0.000 0.000
Si1 Si 0.405 0.500 0.192
Cl1 Cl 0.494 0.500 0.861
Cl2 Cl 0.722 0.000 0.395